Record 1
Material: TlSbIr2
Method: DFT, SCAN
State: PBEsol geometry

abc: 3.1900 3.1900 24.7263
angles: 90.00 90.00 120.00
Positions (direct):
Tl 0.0000 0.0000 0.0000
Tl 0.3333 0.6667 0.6667
Tl 0.6667 0.3333 0.3333
Sb 0.0000 0.0000 0.5000
Sb 0.3333 0.6667 0.1667
Sb 0.6667 0.3333 0.8333
Ir 0.0000 0.0000 0.2445
Ir 0.0000 0.0000 0.7555
Ir 0.3333 0.6667 0.4221
Ir 0.3333 0.6667 0.9112
Ir 0.6667 0.3333 0.0888
Ir 0.6667 0.3333 0.5779

Computed properties:
- crystal system = trigonal
- formation energy (no corrections) (eV per atom) = 0.47

Record 2
Material: Mg2TlBr
Method: DFT, SCAN
State: PBEsol geometry

abc: 3.4577 5.4653 5.4639
angles: 90.00 90.11 90.00
Positions (direct):
Mg 0.2323 0.0000 0.2570
Mg 0.7677 0.0000 0.7430
Tl 0.5000 0.5000 0.0000
Br 0.0000 0.5000 0.5000

Computed properties:
- crystal system = monoclinic
- formation energy (no corrections) (eV per atom) = -0.21

Record 3
Material: InAgP2
Method: DFT, SCAN
State: PBEsol geometry

abc: 3.5617 3.5617 15.9009
angles: 90.00 90.00 120.00
Positions (direct):
In 0.0000 0.0000 0.0000
In 0.0000 0.0000 0.5000
Ag 0.3333 0.6667 0.2500
Ag 0.6667 0.3333 0.7500
P 0.3333 0.6667 0.1029
P 0.3333 0.6667 0.3971
P 0.6667 0.3333 0.6029
P 0.6667 0.3333 0.8971

Computed properties:
- energy relative to the elements (meV per atom) = 411.6
- crystal system = hexagonal

Record 4
Material: ScTl2Te
Method: DFT, SCAN
State: PBEsol geometry

abc: 3.7886 5.5562 9.7328
angles: 90.00 90.00 90.00
Positions (direct):
Sc 0.0000 0.0000 0.0000
Sc 0.5000 0.5000 0.0000
Tl 0.0000 0.5000 0.2389
Tl 0.0000 0.5000 0.7611
Tl 0.5000 0.0000 0.2389
Tl 0.5000 0.0000 0.7611
Te 0.0000 0.0000 0.5000
Te 0.5000 0.5000 0.5000

Computed properties:
- crystal system = orthorhombic
- formation energy (no corrections) (eV per atom) = 0.02

Record 5
Material: RePNF2
Method: DFT, SCAN
State: PBEsol geometry

abc: 3.7846 3.7846 4.3718
angles: 90.00 90.00 90.00
Positions (direct):
Re 0.0000 0.0000 0.0000
P 0.5000 0.5000 0.5000
N 0.5000 0.5000 0.0000
F 0.0000 0.5000 0.5000
F 0.5000 0.0000 0.5000

Computed properties:
- crystal system = tetragonal
- formation energy (no corrections) (eV per atom) = 0.82

Record 6
Material: InBi2O
Method: DFT, SCAN
State: PBEsol geometry

abc: 7.0262 7.0262 7.0262
angles: 90.00 90.00 90.00
Positions (direct):
In 0.0000 0.0000 0.0000
In 0.0000 0.5000 0.5000
In 0.5000 0.0000 0.5000
In 0.5000 0.5000 0.0000
Bi 0.2500 0.2500 0.2500
Bi 0.2500 0.2500 0.7500
Bi 0.2500 0.7500 0.2500
Bi 0.2500 0.7500 0.7500
Bi 0.7500 0.2500 0.2500
Bi 0.7500 0.2500 0.7500
Bi 0.7500 0.7500 0.2500
Bi 0.7500 0.7500 0.7500
O 0.0000 0.0000 0.5000
O 0.0000 0.5000 0.0000
O 0.5000 0.0000 0.0000
O 0.5000 0.5000 0.5000

Computed properties:
- crystal system = cubic
- formation energy (no corrections) (eV per atom) = 0.21

Record 7
Material: ZrGaPt
Method: DFT, SCAN
State: PBEsol geometry

abc: 7.0968 7.0968 3.5478
angles: 90.00 90.00 120.00
Positions (direct):
Zr 0.0000 0.3962 0.0000
Zr 0.3962 0.0000 0.0000
Zr 0.6038 0.6038 0.0000
Ga 0.0000 0.7345 0.5000
Ga 0.2655 0.2655 0.5000
Ga 0.7345 0.0000 0.5000
Pt 0.0000 0.0000 0.0000
Pt 0.3333 0.6667 0.5000
Pt 0.6667 0.3333 0.5000

Computed properties:
- energy relative to the elements (meV per atom) = -1232.6
- crystal system = hexagonal

Record 8
Material: CaV5O7
Method: DFT, SCAN
State: PBEsol geometry

abc: 4.9246 4.9246 17.7225
angles: 90.00 90.00 144.30
Positions (direct):
Ca 0.2009 0.7991 0.7500
Ca 0.7991 0.2009 0.2500
V 0.0000 0.0000 0.0000
V 0.0000 0.0000 0.5000
V 0.2968 0.7032 0.0720
V 0.2968 0.7032 0.4280
V 0.4539 0.5461 0.6476
V 0.4539 0.5461 0.8524
V 0.5461 0.4539 0.1476
V 0.5461 0.4539 0.3524
V 0.7032 0.2968 0.5720
V 0.7032 0.2968 0.9280
O 0.0844 0.9156 0.6109
O 0.0844 0.9156 0.8891
O 0.1856 0.8144 0.1669
O 0.1856 0.8144 0.3331
O 0.3564 0.6436 0.5400
O 0.3564 0.6436 0.9600
O 0.4829 0.5171 0.2500
O 0.5171 0.4829 0.7500
O 0.6436 0.3564 0.0400
O 0.6436 0.3564 0.4600
O 0.8144 0.1856 0.6669
O 0.8144 0.1856 0.8331
O 0.9156 0.0844 0.1109
O 0.9156 0.0844 0.3891

Computed properties:
- crystal system = orthorhombic
- formation energy (no corrections) (eV per atom) = -2.54

Record 9
Material: Li2AgIr
Method: DFT, SCAN
State: PBEsol geometry

abc: 2.5495 4.3530 5.1946
angles: 90.00 103.95 90.00
Positions (direct):
Li 0.0000 0.0000 0.0000
Li 0.1259 0.5000 0.2638
Ag 0.7509 0.0000 0.5071
Ir 0.3917 0.5000 0.7857

Computed properties:
- energy relative to the elements (meV per atom) = -78.9
- crystal system = monoclinic

Record 10
Material: SrZr2Ru
Method: DFT, SCAN
State: PBEsol geometry

abc: 3.2047 3.2047 9.3739
angles: 90.00 90.00 90.00
Positions (direct):
Sr 0.0000 0.0000 0.0000
Zr 0.5000 0.5000 0.3297
Zr 0.5000 0.5000 0.6703
Ru 0.0000 0.0000 0.5000

Computed properties:
- energy relative to the elements (meV per atom) = -3.5
- crystal system = tetragonal

Record 11
Material: FeCuAu2
Method: DFT, SCAN
State: PBEsol geometry

abc: 2.7926 2.7926 25.7540
angles: 90.00 90.00 120.00
Positions (direct):
Fe 0.0000 0.0000 0.0000
Fe 0.3333 0.6667 0.6667
Fe 0.6667 0.3333 0.3333
Cu 0.0000 0.0000 0.5000
Cu 0.3333 0.6667 0.1667
Cu 0.6667 0.3333 0.8333
Au 0.0000 0.0000 0.2495
Au 0.0000 0.0000 0.7505
Au 0.3333 0.6667 0.4172
Au 0.3333 0.6667 0.9162
Au 0.6667 0.3333 0.0838
Au 0.6667 0.3333 0.5828

Computed properties:
- energy relative to the elements (meV per atom) = 63.5
- crystal system = trigonal

Record 12
Material: RbZrMn2
Method: DFT, SCAN
State: PBEsol geometry

abc: 6.9747 6.9747 6.9747
angles: 90.00 90.00 90.00
Positions (direct):
Rb 0.0000 0.0000 0.0000
Rb 0.0000 0.5000 0.5000
Rb 0.5000 0.0000 0.5000
Rb 0.5000 0.5000 0.0000
Zr 0.0000 0.0000 0.5000
Zr 0.0000 0.5000 0.0000
Zr 0.5000 0.0000 0.0000
Zr 0.5000 0.5000 0.5000
Mn 0.2500 0.2500 0.2500
Mn 0.2500 0.2500 0.7500
Mn 0.2500 0.7500 0.2500
Mn 0.2500 0.7500 0.7500
Mn 0.7500 0.2500 0.2500
Mn 0.7500 0.2500 0.7500
Mn 0.7500 0.7500 0.2500
Mn 0.7500 0.7500 0.7500

Computed properties:
- energy relative to the elements (meV per atom) = 932.9
- crystal system = cubic

Record 13
Material: Tc2RhBr
Method: DFT, SCAN
State: PBEsol geometry

abc: 2.8472 4.7685 9.0980
angles: 90.00 90.00 90.00
Positions (direct):
Tc 0.0000 0.0000 0.0000
Tc 0.0000 0.5000 0.2293
Tc 0.5000 0.0000 0.2293
Tc 0.5000 0.5000 0.0000
Rh 0.0000 0.0000 0.4690
Rh 0.5000 0.5000 0.4690
Br 0.0000 0.5000 0.7360
Br 0.5000 0.0000 0.7360

Computed properties:
- crystal system = orthorhombic
- formation energy (no corrections) (eV per atom) = 0.72

Record 14
Material: Tl2BiAu2
Method: DFT, SCAN
State: PBEsol geometry

abc: 4.2974 4.2974 13.1386
angles: 90.00 90.00 90.00
Positions (direct):
Tl 0.0000 0.5000 0.2500
Tl 0.0000 0.5000 0.7500
Tl 0.5000 0.0000 0.2500
Tl 0.5000 0.0000 0.7500
Bi 0.0000 0.0000 0.0000
Bi 0.5000 0.5000 0.5000
Au 0.0000 0.0000 0.4002
Au 0.0000 0.0000 0.5998
Au 0.5000 0.5000 0.0998
Au 0.5000 0.5000 0.9002

Computed properties:
- energy relative to the elements (meV per atom) = 154.6
- crystal system = tetragonal

Record 15
Material: TeP2Au
Method: DFT, SCAN
State: PBEsol geometry

abc: 3.1313 3.8167 13.3657
angles: 90.00 90.00 90.00
Positions (direct):
Te 0.0000 0.0000 0.0000
Te 0.5000 0.5000 0.5000
P 0.0000 0.0000 0.6424
P 0.0000 0.5000 0.2578
P 0.5000 0.0000 0.7578
P 0.5000 0.5000 0.1424
Au 0.0000 0.5000 0.8449
Au 0.5000 0.0000 0.3449

Computed properties:
- crystal system = orthorhombic
- formation energy (no corrections) (eV per atom) = 0.28

Record 16
Material: BeAs2SeI
Method: DFT, SCAN
State: PBEsol geometry

abc: 5.2886 5.2886 5.2719
angles: 90.00 90.00 90.00
Positions (direct):
Be 0.0000 0.0000 0.0000
As 0.0000 0.5000 0.5000
As 0.5000 0.0000 0.5000
Se 0.5000 0.5000 0.0000
I 0.5000 0.5000 0.5000

Computed properties:
- crystal system = tetragonal
- formation energy (no corrections) (eV per atom) = 1.70

Record 17
Material: Cs2PPt
Method: DFT, SCAN
State: PBEsol geometry

abc: 13.0123 13.0123 4.4043
angles: 90.00 90.00 90.00
Positions (direct):
Cs 0.0650 0.7500 0.1250
Cs 0.2500 0.0650 0.8750
Cs 0.2500 0.4350 0.3750
Cs 0.4350 0.7500 0.6250
Cs 0.5650 0.2500 0.6250
Cs 0.7500 0.5650 0.3750
Cs 0.7500 0.9350 0.8750
Cs 0.9350 0.2500 0.1250
P 0.0000 0.0000 0.5000
P 0.0000 0.5000 0.7500
P 0.5000 0.0000 0.2500
P 0.5000 0.5000 0.0000
Pt 0.0000 0.0000 0.0000
Pt 0.0000 0.5000 0.2500
Pt 0.5000 0.0000 0.7500
Pt 0.5000 0.5000 0.5000

Computed properties:
- energy relative to the elements (meV per atom) = -490.4
- crystal system = tetragonal

Record 18
Material: PO2
Method: DFT, SCAN
State: PBEsol geometry

abc: 5.8002 5.8002 4.7059
angles: 101.08 101.08 42.41
Positions (direct):
P 0.0000 0.5000 0.0000
P 0.1850 0.8150 0.7500
P 0.5000 0.0000 0.5000
P 0.8150 0.1850 0.2500
O 0.0015 0.1853 0.9583
O 0.1853 0.0015 0.4583
O 0.2525 0.3443 0.3136
O 0.3443 0.2525 0.8136
O 0.6557 0.7475 0.1864
O 0.7475 0.6557 0.6864
O 0.8147 0.9985 0.5417
O 0.9985 0.8147 0.0417

Computed properties:
- crystal system = monoclinic
- formation energy (no corrections) (eV per atom) = -1.61

Record 19
Material: Li2TiMn2O6
Method: DFT, SCAN
State: PBEsol geometry

abc: 5.0395 5.0395 10.0644
angles: 90.00 90.00 64.51
Positions (direct):
Li 0.0990 0.4010 0.2500
Li 0.4010 0.0990 0.7500
Li 0.5990 0.9010 0.2500
Li 0.9010 0.5990 0.7500
Ti 0.0000 0.0000 0.0000
Ti 0.5000 0.5000 0.5000
Mn 0.1649 0.1649 0.5000
Mn 0.3351 0.3351 0.0000
Mn 0.6649 0.6649 0.0000
Mn 0.8351 0.8351 0.5000
O 0.0535 0.2928 0.8878
O 0.1702 0.8298 0.4095
O 0.2072 0.4465 0.6122
O 0.2928 0.0535 0.1122
O 0.3298 0.6702 0.9095
O 0.4465 0.2072 0.3878
O 0.5535 0.7928 0.6122
O 0.6702 0.3298 0.0905
O 0.7072 0.9465 0.8878
O 0.7928 0.5535 0.3878
O 0.8298 0.1702 0.5905
O 0.9465 0.7072 0.1122

Computed properties:
- crystal system = orthorhombic
- formation energy (no corrections) (eV per atom) = -2.48

Record 20
Material: KMg2Si2
Method: DFT, SCAN
State: PBEsol geometry

abc: 4.5956 4.5956 10.8854
angles: 90.00 90.00 90.00
Positions (direct):
K 0.0000 0.0000 0.0000
K 0.5000 0.5000 0.5000
Mg 0.0000 0.5000 0.2500
Mg 0.0000 0.5000 0.7500
Mg 0.5000 0.0000 0.2500
Mg 0.5000 0.0000 0.7500
Si 0.0000 0.0000 0.3918
Si 0.0000 0.0000 0.6082
Si 0.5000 0.5000 0.1082
Si 0.5000 0.5000 0.8918

Computed properties:
- crystal system = tetragonal
- formation energy (no corrections) (eV per atom) = -0.09

| no. | DOS(E_F) (states/eV per atom) | V (Å³/atom) |
| --- | --- | --- |
| 1 | 0.667 | 18.16 |
| 2 | 0.320 | 25.81 |
| 3 | 0.396 | 21.84 |
| 4 | 0.845 | 25.61 |
| 5 | 0.241 | 12.52 |
| 6 | 0.565 | 21.68 |
| 7 | 0.177 | 17.19 |
| 8 | 0.476 | 9.65 |
| 9 | 0.395 | 13.99 |
| 10 | 1.279 | 24.07 |
| 11 | 0.612 | 14.50 |
| 12 | 0.756 | 21.21 |
| 13 | 1.045 | 15.44 |
| 14 | 0.453 | 24.26 |
| 15 | 0.415 | 19.97 |
| 16 | 1.093 | 29.49 |
| 17 | 0.371 | 46.61 |
| 18 | 0.000 | 8.71 |
| 19 | 0.000 | 10.49 |
| 20 | 0.302 | 22.99 |